1.
Below is crystalline TmZrTlC at its relaxed geometry, with properties calculated at the GGA-PBE level. Values from VASP.

Quantum ESPRESSO input file:
```
&SYSTEM
  ibrav = 0, nat = 8, ntyp = 4
/
ATOMIC_SPECIES
C 12.01 C.upf
Tl 204.38 Tl.upf
Tm 168.93 Tm.upf
Zr 91.22 Zr.upf
ATOMIC_POSITIONS crystal
C 0.000 0.000 0.238
C 0.000 0.000 0.762
Tl 0.667 0.333 0.000
Tl 0.333 0.667 0.500
Tm 0.667 0.333 0.330
Tm 0.667 0.333 0.670
Zr 0.333 0.667 0.164
Zr 0.333 0.667 0.836
CELL_PARAMETERS angstrom
3.458 0.000 0.000
-1.729 2.994 0.000
0.000 0.000 15.543
```

Results
energy relative to the lowest polymorph listed for this composition = 0 meV/atom
V = 80.5 Å³/f.u.
total magnetic moment = 0.00 μB/atom
crystal system = hexagonal

2.
Below is crystalline TmZrTlC at its relaxed geometry, with properties calculated at the GGA-PBE level. Values from VASP.

Quantum ESPRESSO input file:
```
&SYSTEM
  ibrav = 0, nat = 8, ntyp = 4
/
ATOMIC_SPECIES
C 12.01 C.upf
Tl 204.38 Tl.upf
Tm 168.93 Tm.upf
Zr 91.22 Zr.upf
ATOMIC_POSITIONS crystal
C 0.000 0.000 0.007
C 0.000 0.000 0.507
Tl 0.667 0.333 0.246
Tl 0.333 0.667 0.746
Tm 0.333 0.667 0.415
Tm 0.667 0.333 0.915
Zr 0.333 0.667 0.081
Zr 0.667 0.333 0.581
CELL_PARAMETERS angstrom
-0.254 2.694 2.146
-0.680 -3.188 1.142
14.953 -1.762 3.984
```

Results
energy relative to the lowest polymorph listed for this composition = 1 meV/atom
V = 80.4 Å³/f.u.
total magnetic moment = 0.00 μB/atom
crystal system = hexagonal

3.
Below is crystalline TmZr3Tl2C2 at its relaxed geometry, with properties calculated at the GGA-PBE level. Values from VASP.

Quantum ESPRESSO input file:
```
&SYSTEM
  ibrav = 0, nat = 8, ntyp = 4
/
ATOMIC_SPECIES
C 12.01 C.upf
Tl 204.38 Tl.upf
Tm 168.93 Tm.upf
Zr 91.22 Zr.upf
ATOMIC_POSITIONS crystal
C 0.333 0.667 0.010
C 0.333 0.667 0.497
Tl 0.000 0.000 0.252
Tl 0.667 0.333 0.744
Tm 0.000 0.000 0.917
Zr 0.667 0.333 0.086
Zr 0.667 0.333 0.417
Zr 0.000 0.000 0.577
CELL_PARAMETERS angstrom
3.422 0.000 0.000
-1.711 2.963 0.000
0.000 0.000 15.337
```

Results
V = 155.5 Å³/f.u.
E = -57.8 eV for the cell shown
total magnetic moment = 0.00 μB/atom
crystal system = trigonal

4.
Below is crystalline TmZrTlC at its relaxed geometry, with properties calculated at the GGA-PBE level. Values from VASP.

Quantum ESPRESSO input file:
```
&SYSTEM
  ibrav = 0, nat = 8, ntyp = 4
/
ATOMIC_SPECIES
C 12.01 C.upf
Tl 204.38 Tl.upf
Tm 168.93 Tm.upf
Zr 91.22 Zr.upf
ATOMIC_POSITIONS crystal
C 0.000 0.000 0.000
C 0.000 0.000 0.500
Tl 0.667 0.333 0.242
Tl 0.333 0.667 0.758
Tm 0.333 0.667 0.414
Tm 0.667 0.333 0.586
Zr 0.333 0.667 0.078
Zr 0.667 0.333 0.922
CELL_PARAMETERS angstrom
-3.027 -0.596 1.584
2.908 -1.443 1.219
2.329 12.395 9.116
```

Results
energy relative to the lowest polymorph listed for this composition = 5 meV/atom
V = 81.0 Å³/f.u.
total magnetic moment = 0.00 μB/atom
crystal system = trigonal

5.
Below is crystalline Tm3ZrTl2C2 at its relaxed geometry, with properties calculated at the GGA-PBE level. Values from VASP.

Quantum ESPRESSO input file:
```
&SYSTEM
  ibrav = 0, nat = 8, ntyp = 4
/
ATOMIC_SPECIES
C 12.01 C.upf
Tl 204.38 Tl.upf
Tm 168.93 Tm.upf
Zr 91.22 Zr.upf
ATOMIC_POSITIONS crystal
C 0.667 0.333 0.009
C 0.667 0.333 0.499
Tl 0.333 0.667 0.244
Tl 0.000 0.000 0.752
Tm 0.000 0.000 0.414
Tm 0.333 0.667 0.583
Tm 0.333 0.667 0.918
Zr 0.000 0.000 0.081
CELL_PARAMETERS angstrom
3.508 0.000 0.000
-1.754 3.038 0.000
0.000 0.000 15.765
```

Results
V = 168.0 Å³/f.u.
E = -48.8 eV for the cell shown
total magnetic moment = 0.00 μB/atom
crystal system = trigonal

6.
Below is crystalline TlW2C at its relaxed geometry, with properties calculated at the GGA-PBE level. Values from VASP.

Quantum ESPRESSO input file:
```
&SYSTEM
  ibrav = 0, nat = 8, ntyp = 3
/
ATOMIC_SPECIES
C 12.01 C.upf
Tl 204.38 Tl.upf
W 183.84 W.upf
ATOMIC_POSITIONS crystal
C 0.000 0.000 0.000
C 0.000 0.000 0.500
Tl 0.667 0.333 0.250
Tl 0.333 0.667 0.750
W 0.333 0.667 0.078
W 0.333 0.667 0.422
W 0.667 0.333 0.578
W 0.667 0.333 0.922
CELL_PARAMETERS angstrom
3.178 0.000 0.000
-1.589 2.752 0.000
0.000 0.000 14.043
```

Results
V = 61.4 Å³/f.u.
E = -71.5 eV for the cell shown
total magnetic moment = 0.00 μB/atom
crystal system = hexagonal

7.
Below is crystalline TlW2C at its relaxed geometry, with properties calculated at the GGA-PBE level. Values from VASP.

Quantum ESPRESSO input file:
```
&SYSTEM
  ibrav = 0, nat = 24, ntyp = 3
/
ATOMIC_SPECIES
C 12.01 C.upf
Tl 204.38 Tl.upf
W 183.84 W.upf
ATOMIC_POSITIONS crystal
C 0.500 0.000 0.000
C 0.834 0.333 0.000
C 0.166 0.667 0.000
C 0.333 0.834 0.500
C 0.000 0.500 0.500
C 0.667 0.166 0.500
Tl 0.251 0.415 0.250
Tl 0.918 0.082 0.250
Tl 0.585 0.749 0.250
Tl 0.415 0.251 0.750
Tl 0.082 0.918 0.750
Tl 0.749 0.585 0.750
W 0.858 0.693 0.078
W 0.193 0.025 0.078
W 0.526 0.360 0.078
W 0.640 0.474 0.422
W 0.975 0.807 0.422
W 0.307 0.142 0.422
W 0.693 0.858 0.578
W 0.025 0.193 0.578
W 0.360 0.526 0.578
W 0.474 0.640 0.922
W 0.807 0.975 0.922
W 0.142 0.307 0.922
CELL_PARAMETERS angstrom
4.774 -2.757 0.000
4.774 2.757 0.000
-3.190 0.000 14.028
```

Results
V = 61.5 Å³/f.u.
E = -214.7 eV for the cell shown
total magnetic moment = 0.00 μB/atom
crystal system = monoclinic

8.
Below is crystalline Y4Tl3W2C3 at its relaxed geometry, with properties calculated at the GGA-PBE level. Values from VASP.

Quantum ESPRESSO input file:
```
&SYSTEM
  ibrav = 0, nat = 24, ntyp = 4
/
ATOMIC_SPECIES
C 12.01 C.upf
Tl 204.38 Tl.upf
W 183.84 W.upf
Y 88.91 Y.upf
ATOMIC_POSITIONS crystal
C 0.648 0.204 0.000
C 0.000 0.500 0.000
C 0.352 0.796 0.000
C 0.204 0.648 0.500
C 0.500 0.000 0.500
C 0.796 0.352 0.500
Tl 0.711 0.580 0.245
Tl 0.129 0.871 0.250
Tl 0.420 0.289 0.255
Tl 0.580 0.711 0.745
Tl 0.871 0.129 0.750
Tl 0.289 0.420 0.755
W 0.341 0.522 0.064
W 0.478 0.659 0.436
W 0.522 0.341 0.564
W 0.659 0.478 0.936
Y 0.048 0.185 0.092
Y 0.698 0.881 0.092
Y 0.119 0.302 0.408
Y 0.815 0.952 0.408
Y 0.185 0.048 0.592
Y 0.881 0.698 0.592
Y 0.302 0.119 0.908
Y 0.952 0.815 0.908
CELL_PARAMETERS angstrom
-0.558 5.397 -2.504
-2.239 0.461 -5.521
-12.833 -0.871 8.573
```

Results
V = 233.4 Å³/f.u.
E = -179.8 eV for the cell shown
total magnetic moment = 0.00 μB/atom
crystal system = monoclinic